(1)
Density functional theory data (PBE-GGA) for a relaxed PmMg2H8Ru crystal.

The structure in POSCAR format:
```
PmMg2H8Ru
1.0
-0.741 1.837 -4.007
0.267 -4.443 0.406
-6.397 -0.288 1.051
Pm Mg H Ru
1 2 8 1
Direct
0.000 0.000 0.500
0.667 0.333 0.138
0.333 0.667 0.862
0.832 0.663 0.830
0.337 0.168 0.830
0.832 0.168 0.830
0.168 0.337 0.170
0.663 0.832 0.170
0.168 0.832 0.170
0.667 0.333 0.442
0.333 0.667 0.558
0.000 0.000 0.000
```

crystal system	trigonal


(2)
Density functional theory data (PBE-GGA) for a relaxed Pm2MgH6Ru crystal.

The structure in POSCAR format:
```
Pm2MgH6Ru
1.0
-4.237 -1.236 -2.606
2.845 -2.545 -3.420
-1.080 -5.389 -0.729
Pm Mg H Ru
2 1 6 1
Direct
0.750 0.250 0.500
0.250 0.750 0.500
0.000 0.000 0.000
0.278 0.278 0.444
0.736 0.735 0.000
0.265 0.736 0.000
0.735 0.264 0.000
0.264 0.265 0.000
0.722 0.722 0.556
0.500 0.500 0.000
```

crystal system	tetragonal


(3)
Density functional theory data (PBE-GGA) for a relaxed PmMgSnH crystal.

The structure in POSCAR format:
```
PmMgSnH
1.0
-2.824 2.397 2.360
-2.558 0.470 -3.540
-4.149 -6.933 2.077
Pm Mg Sn H
2 2 2 2
Direct
0.000 0.500 0.874
0.500 0.000 0.126
0.000 0.000 0.500
0.500 0.500 0.500
0.500 0.000 0.728
0.000 0.500 0.272
0.500 0.500 0.000
0.000 0.000 0.000
```

crystal system	tetragonal


(4)
Density functional theory data (PBE-GGA) for a relaxed Pm2MgTcH6 crystal.

The structure in POSCAR format:
```
Pm2MgTcH6
1.0
5.207 0.000 0.001
0.000 5.210 0.001
2.604 2.606 4.081
Pm Mg Tc H
2 1 1 6
Direct
0.750 0.250 0.500
0.250 0.750 0.500
0.000 0.000 0.000
0.500 0.500 0.000
0.272 0.272 0.455
0.739 0.738 0.000
0.261 0.739 0.000
0.739 0.261 0.000
0.261 0.262 0.000
0.728 0.728 0.545
```

crystal system	tetragonal


In order of appearance, raw total energy = -4.04; -4.37; -3.99; -4.45 eV/atom.